# 1
4
Lattice="1.406 0.812 8.343 -1.406 0.812 8.343 0.000 -1.624 8.343" Properties=species:S:1:pos:R:3 comment="AuSO2 (PBE-GGA, optimized geometry)" final_energy_ev_per_cell=-16.86 n_ef_per_ev_cell=1.88 e_form_raw_mev_per_atom=114 pbc="T T T"
Au 0.000 0.000 0.000
S 0.000 0.000 12.514
O 0.000 0.000 11.022
O 0.000 0.000 14.006



# 2
18
Lattice="7.191 0.000 0.000 0.000 4.655 0.000 -2.129 0.000 7.903" Properties=species:S:1:pos:R:3 comment="Au2SO6 (PBE-GGA, optimized geometry)" final_energy_ev_per_cell=-89.42 e_form_raw_mev_per_atom=-476 pbc="T T T"
Au 0.000 0.750 0.000
Au -1.064 3.905 3.951
Au 1.294 1.523 4.803
Au 2.358 3.132 0.852
S 4.506 0.790 1.559
S 3.441 3.866 5.510
O 0.575 2.312 1.040
O -0.489 2.343 4.991
O -0.318 0.015 7.626
O 0.746 4.640 3.674
O 3.234 1.499 1.885
O 2.170 3.156 5.836
O 3.178 0.644 5.174
O 4.243 4.012 1.223
O 5.187 1.457 0.402
O 4.122 3.198 4.353
O 5.394 0.849 2.761
O 4.329 3.807 6.713



# 3
7
Lattice="4.396 0.000 0.000 -0.980 5.028 0.000 -1.380 -0.625 9.107" Properties=species:S:1:pos:R:3 comment="AuS5O (PBE-GGA, optimized geometry)" final_energy_ev_per_cell=-29.17 n_ef_per_ev_cell=1.21 e_form_raw_mev_per_atom=-43 pbc="T T T"
Au 0.000 0.000 0.000
S -0.131 0.026 5.335
S -0.807 2.533 8.410
S 0.810 1.924 0.911
S 0.351 4.241 4.119
S 2.801 0.660 4.017
O 0.535 3.176 8.021



# 4
5
Lattice="4.008 0.000 0.000 0.000 4.008 0.000 0.000 0.000 4.008" Properties=species:S:1:pos:R:3 comment="AuSO3 (PBE-GGA, optimized geometry)" final_energy_ev_per_cell=-17.28 n_ef_per_ev_cell=3.13 e_form_raw_mev_per_atom=1000 pbc="T T T"
Au 0.000 0.000 0.000
S 2.004 2.004 2.004
O 0.000 0.000 2.004
O 0.000 2.004 0.000
O 2.004 0.000 0.000



Copy entry 2 word for word.
18
Lattice="7.191 0.000 0.000 0.000 4.655 0.000 -2.129 0.000 7.903" Properties=species:S:1:pos:R:3 comment="Au2SO6 (PBE-GGA, optimized geometry)" final_energy_ev_per_cell=-89.42 e_form_raw_mev_per_atom=-476 pbc="T T T"
Au 0.000 0.750 0.000
Au -1.064 3.905 3.951
Au 1.294 1.523 4.803
Au 2.358 3.132 0.852
S 4.506 0.790 1.559
S 3.441 3.866 5.510
O 0.575 2.312 1.040
O -0.489 2.343 4.991
O -0.318 0.015 7.626
O 0.746 4.640 3.674
O 3.234 1.499 1.885
O 2.170 3.156 5.836
O 3.178 0.644 5.174
O 4.243 4.012 1.223
O 5.187 1.457 0.402
O 4.122 3.198 4.353
O 5.394 0.849 2.761
O 4.329 3.807 6.713